Zr2AgPd2 | the Alexandria database | PBE | relaxed; energy of formation = -142 meV/atom; raw total energy = -6.21 eV per atom; space group = No. 139
1.0
-2.350 2.350 4.958
2.350 -2.350 4.958
2.350 2.350 -4.958
Zr Ag Pd
2 1 2
direct
0.250 0.750 0.500
0.750 0.250 0.500
0.000 0.000 0.000
0.375 0.375 0.000
0.625 0.625 0.000